DFT (PBE) results for ZnAgPb2 after structural relaxation.

The structure belongs to space group R3m (No. 160, hexagonal axes); the cell edges are 3.2811, 3.2811 and 31.7591 Å and the angles 90.00°, 90.00° and 120.00°. The inequivalent atoms are Zn at (0.0000, 0.0000, 0.0000), Ag at (0.0000, 0.0000, 0.2702), Pb at (0.0000, 0.0000, 0.5220) and Pb at (0.0000, 0.0000, 0.7483).

The formation energy is 128 meV/atom. The value obtained for the total energy is -2.7572 eV/atom.

---

DFT (PBE) results for YPt3O after structural relaxation.

The structure belongs to space group Pm-3m (No. 221); the cell edges are 4.3972, 4.3972 and 4.3972 Å and the angles 90.00°, 90.00° and 90.00°. The inequivalent atoms are Y at (0.0000, 0.0000, 0.0000), Pt at (0.0000, 0.5000, 0.5000) and O at (0.5000, 0.5000, 0.5000).

The value obtained for the raw formation energy is -338 meV per atom. For the excess energy over the best structure of this formula in the dataset, the calculation gives 0 meV/atom. The value obtained for the total energy is -6.2471 eV/atom.

---

DFT (PBE) results for SrGa4IrPt2 after structural relaxation.

The structure belongs to space group R-3m (No. 166, hexagonal axes); the cell edges are 4.2954, 4.2954 and 28.2269 Å and the angles 90.00°, 90.00° and 120.00°. The inequivalent atoms are Sr at (0.0000, 0.0000, 0.0000), Ga at (0.0000, 0.0000, 0.1341), Ga at (0.0000, 0.0000, 0.4048), Ir at (0.0000, 0.0000, 0.5000) and Pt at (0.0000, 0.0000, 0.2320).

The formation energy is -585 meV/atom. The value obtained for the total energy is -4.9265 eV/atom.

---

DFT (PBE) results for Hf2PbS after structural relaxation.

The structure belongs to space group I-42d (No. 122); the cell edges are 5.5385, 5.5385 and 14.5603 Å and the angles 90.00°, 90.00° and 90.00°. The inequivalent atoms are Hf at (0.1660, 0.2500, 0.1250), Pb at (0.0000, 0.0000, 0.5000) and S at (0.0000, 0.0000, 0.0000).

The value obtained for the raw formation energy is 22 meV per atom. For the excess energy over the best structure of this formula in the dataset, the calculation gives 639 meV/atom. The value obtained for the total energy is -6.9139 eV/atom.

---

DFT (PBE) results for ErThGa2Cu2 after structural relaxation.

The structure belongs to space group P-3m1 (No. 164); the cell edges are 4.3512, 4.3512 and 7.3582 Å and the angles 90.00°, 90.00° and 120.00°. The inequivalent atoms are Er at (0.0000, 0.0000, 0.0000), Th at (0.0000, 0.0000, 0.5000), Ga at (0.3333, 0.6667, 0.7638) and Cu at (0.3333, 0.6667, 0.2220).

The formation energy is -467 meV/atom. The value obtained for the total energy is -4.8381 eV/atom.

---

DFT (PBE) results for Pr3InCl after structural relaxation.

The structure belongs to space group Pm-3m (No. 221); the cell edges are 5.3944, 5.3944 and 5.3944 Å and the angles 90.00°, 90.00° and 90.00°. The inequivalent atoms are Pr at (0.0000, 0.0000, 0.5000), In at (0.5000, 0.5000, 0.5000) and Cl at (0.0000, 0.0000, 0.0000).

The value obtained for the raw formation energy is -615 meV per atom. The value obtained for the total energy is -4.3998 eV/atom.

---

DFT (PBE) results for BeAlRh after structural relaxation.

The structure belongs to space group P3m1 (No. 156); the cell edges are 3.9119, 3.9119 and 2.8352 Å and the angles 90.00°, 90.00° and 120.00°. The inequivalent atoms are Be at (0.0000, 0.0000, 0.0000), Al at (0.6667, 0.3333, 0.4942) and Rh at (0.3333, 0.6667, 0.9936).

The formation energy is -598 meV/atom. For the excess energy over the best structure of this formula in the dataset, the calculation gives 72 meV/atom. The value obtained for the total energy is -5.5379 eV/atom.

---

DFT (PBE) results for Zr3TiMn after structural relaxation.

The structure belongs to space group Pm-3m (No. 221); the cell edges are 4.8240, 4.8240 and 4.8240 Å and the angles 90.00°, 90.00° and 90.00°. The inequivalent atoms are Zr at (0.0000, 0.0000, 0.5000), Ti at (0.5000, 0.5000, 0.5000) and Mn at (0.0000, 0.0000, 0.0000).

The formation energy is 478 meV/atom. For the excess energy over the best structure of this formula in the dataset, the calculation gives 0 meV/atom. The value obtained for the total energy is -8.0635 eV/atom.